Material: Ta2MnAg
Method: DFT, SCAN
State: PBEsol geometry

Summary:
SG: Cm (8)
Energy of formation in kJ per mole of atoms: 24.6

abc: 4.884 4.884 4.932
angles: 101.80 101.80 33.68
Sites, in units of the cell vectors:
Ta1 0.000 0.000 0.000
Ta2 0.239 0.239 0.710
Mn1 0.499 0.499 0.498
Ag1 0.757 0.757 0.232


Material: Rb2TeH6SO10
Method: DFT, SCAN
State: PBEsol geometry

Summary:
SG: P2_1/c (14)

abc: 13.447 6.641 11.470
angles: 90.00 107.25 90.00
Sites, in units of the cell vectors:
Rb1 0.138 0.003 0.403
Rb2 0.138 0.497 0.903
Rb3 0.362 0.021 0.162
Rb4 0.362 0.479 0.662
Rb5 0.638 0.521 0.338
Rb6 0.638 0.979 0.838
Rb7 0.862 0.503 0.097
Rb8 0.862 0.997 0.597
Te1 0.000 0.000 0.000
Te2 0.000 0.500 0.500
Te3 0.500 0.000 0.500
Te4 0.500 0.500 0.000
H1 0.083 0.011 0.829
H2 0.083 0.489 0.329
H3 0.110 0.745 0.140
H4 0.110 0.755 0.640
H5 0.137 0.210 0.139
H6 0.137 0.290 0.639
H7 0.360 0.248 0.414
H8 0.360 0.252 0.914
H9 0.390 0.561 0.136
H10 0.390 0.939 0.636
H11 0.421 0.674 0.404
H12 0.421 0.826 0.904
H13 0.579 0.174 0.096
H14 0.579 0.326 0.596
H15 0.610 0.061 0.364
H16 0.610 0.439 0.864
H17 0.640 0.748 0.086
H18 0.640 0.752 0.586
H19 0.863 0.710 0.361
H20 0.863 0.790 0.861
H21 0.890 0.245 0.360
H22 0.890 0.255 0.860
H23 0.917 0.511 0.671
H24 0.917 0.989 0.171
S1 0.251 0.510 0.266
S2 0.251 0.990 0.766
S3 0.749 0.010 0.234
S4 0.749 0.490 0.734
O1 0.036 0.586 0.356
O2 0.036 0.914 0.856
O3 0.043 0.736 0.069
O4 0.043 0.764 0.569
O5 0.137 0.115 0.071
O6 0.137 0.385 0.571
O7 0.162 0.127 0.763
O8 0.162 0.373 0.263
O9 0.216 0.722 0.248
O10 0.216 0.778 0.748
O11 0.296 0.053 0.668
O12 0.296 0.447 0.168
O13 0.331 0.008 0.888
O14 0.331 0.492 0.388
O15 0.361 0.096 0.416
O16 0.361 0.404 0.916
O17 0.447 0.642 0.117
O18 0.447 0.858 0.617
O19 0.477 0.733 0.894
O20 0.477 0.767 0.394
O21 0.523 0.233 0.606
O22 0.523 0.267 0.106
O23 0.553 0.142 0.383
O24 0.553 0.358 0.883
O25 0.639 0.596 0.084
O26 0.639 0.904 0.584
O27 0.669 0.508 0.612
O28 0.669 0.992 0.112
O29 0.704 0.553 0.832
O30 0.704 0.947 0.332
O31 0.784 0.222 0.252
O32 0.784 0.278 0.752
O33 0.838 0.627 0.737
O34 0.838 0.873 0.237
O35 0.863 0.615 0.429
O36 0.863 0.885 0.929
O37 0.957 0.236 0.431
O38 0.957 0.264 0.931
O39 0.964 0.086 0.144
O40 0.964 0.414 0.644


Material: Mn2NiP
Method: DFT, SCAN
State: PBEsol geometry

Summary:
SG: Imm2 (44)
Energy of formation in kJ per mole of atoms: -26.2

abc: 4.565 4.565 4.565
angles: 145.11 129.58 62.78
Sites, in units of the cell vectors:
Mn1 0.000 0.000 0.000
Mn2 0.730 0.230 0.500
Ni1 0.278 0.778 0.500
P1 0.499 0.499 0.000


Material: MnZnCo2
Method: DFT, SCAN
State: PBEsol geometry

Summary:
SG: P4/mmm (123)
Energy of formation in kJ per mole of atoms: -3.1

abc: 3.891 3.891 2.916
angles: 90.00 90.00 90.00
Sites, in units of the cell vectors:
Mn1 0.000 0.000 0.000
Zn1 0.500 0.500 0.000
Co1 0.000 0.500 0.500
Co2 0.500 0.000 0.500


Material: Zn2HI
Method: DFT, SCAN
State: PBEsol geometry

Summary:
SG: Fm-3m (225)

abc: 4.699 4.699 4.699
angles: 60.00 60.00 60.00
Sites, in units of the cell vectors:
Zn1 0.250 0.250 0.250
Zn2 0.750 0.750 0.750
H1 0.000 0.000 0.000
I1 0.500 0.500 0.500


Material: LiZn2Pt
Method: DFT, SCAN
State: PBEsol geometry

Summary:
SG: P4/mmm (123)
Energy of formation in kJ per mole of atoms: -52.1

abc: 3.828 3.828 3.663
angles: 90.00 90.00 90.00
Sites, in units of the cell vectors:
Li1 0.000 0.000 0.000
Zn1 0.000 0.500 0.500
Zn2 0.500 0.000 0.500
Pt1 0.500 0.500 0.000


Material: Dy3Co2Ge4
Method: DFT, SCAN
State: PBEsol geometry

Summary:
SG: C2/m (12)
Energy of formation in kJ per mole of atoms: -72.7

abc: 5.630 5.630 7.894
angles: 106.28 106.28 42.60
Sites, in units of the cell vectors:
Dy1 0.000 0.000 0.000
Dy2 0.377 0.377 0.307
Dy3 0.623 0.623 0.693
Co1 0.307 0.307 0.626
Co2 0.693 0.693 0.374
Ge1 0.097 0.097 0.399
Ge2 0.291 0.291 0.919
Ge3 0.709 0.709 0.081
Ge4 0.903 0.903 0.601


Material: Cr2Cu2Br
Method: DFT, SCAN
State: PBEsol geometry

Summary:
SG: I4/mmm (139)
Formation energy from raw total energies in eV/f.u.: 3.3

abc: 7.718 7.718 7.718
angles: 156.35 156.35 33.69
Sites, in units of the cell vectors:
Cr1 0.250 0.750 0.500
Cr2 0.750 0.250 0.500
Cu1 0.113 0.113 0.000
Cu2 0.887 0.887 0.000
Br1 0.500 0.500 0.000


Material: La2MgTl
Method: DFT, SCAN
State: PBEsol geometry

Summary:
SG: Fm-3m (225)
Energy of formation in kJ per mole of atoms: -39.7

abc: 5.522 5.522 5.522
angles: 60.00 60.00 60.00
Sites, in units of the cell vectors:
La1 0.250 0.250 0.250
La2 0.750 0.750 0.750
Mg1 0.000 0.000 0.000
Tl1 0.500 0.500 0.500


Material: CrHgIr
Method: DFT, SCAN
State: PBEsol geometry

Summary:
SG: F-43m (216)
Energy of formation in kJ per mole of atoms: 81.5

abc: 4.332 4.332 4.332
angles: 60.00 60.00 60.00
Sites, in units of the cell vectors:
Cr1 0.000 0.000 0.000
Hg1 0.750 0.750 0.750
Ir1 0.500 0.500 0.500


Material: ZrTa4
Method: DFT, SCAN
State: PBEsol geometry

Summary:
SG: I4/m (87)
Energy of formation in kJ per mole of atoms: 7.3

abc: 5.540 5.540 5.540
angles: 95.08 95.08 145.36
Sites, in units of the cell vectors:
Zr1 0.000 0.000 0.000
Ta1 0.188 0.393 0.581
Ta2 0.393 0.812 0.205
Ta3 0.607 0.188 0.795
Ta4 0.812 0.607 0.419


Material: BSIO2
Method: DFT, SCAN
State: PBEsol geometry

Summary:
SG: P4/mmm (123)
Formation energy from raw total energies in eV/f.u.: 4.1

abc: 3.466 3.466 6.821
angles: 90.00 90.00 90.00
Sites, in units of the cell vectors:
B1 0.000 0.000 0.000
S1 0.500 0.500 0.500
I1 0.500 0.500 0.000
O1 0.000 0.500 0.500
O2 0.500 0.000 0.500


Material: SiGeMoSe2
Method: DFT, SCAN
State: PBEsol geometry

Summary:
SG: P4/mmm (123)
Formation energy from raw total energies in eV/f.u.: 5.6

abc: 4.907 4.907 4.546
angles: 90.00 90.00 90.00
Sites, in units of the cell vectors:
Si1 0.000 0.000 0.000
Ge1 0.000 0.000 0.500
Mo1 0.500 0.500 0.000
Se1 0.000 0.500 0.500
Se2 0.500 0.000 0.500


Material: SmCuO2
Method: DFT, SCAN
State: PBEsol geometry

Summary:
SG: R-3m (166)
Formation energy from raw total energies in eV/f.u.: -10.1

abc: 6.009 6.009 6.009
angles: 35.25 35.25 35.25
Sites, in units of the cell vectors:
Sm1 0.000 0.000 0.000
Cu1 0.500 0.500 0.500
O1 0.394 0.394 0.394
O2 0.606 0.606 0.606


Material: Hg3SbBr
Method: DFT, SCAN
State: PBEsol geometry

Summary:
SG: Pm-3m (221)
Formation energy from raw total energies in eV/f.u.: -0.6

abc: 5.514 5.514 5.514
angles: 90.00 90.00 90.00
Sites, in units of the cell vectors:
Hg1 0.000 0.000 0.500
Hg2 0.000 0.500 0.000
Hg3 0.500 0.000 0.000
Sb1 0.000 0.000 0.000
Br1 0.500 0.500 0.500


Material: Na2TaTlRu
Method: DFT, SCAN
State: PBEsol geometry

Summary:
SG: P4/mmm (123)
Energy of formation in kJ per mole of atoms: 167.0

abc: 4.889 4.889 5.116
angles: 90.00 90.00 90.00
Sites, in units of the cell vectors:
Na1 0.000 0.500 0.000
Na2 0.500 0.000 0.000
Ta1 0.000 0.000 0.500
Tl1 0.500 0.500 0.000
Ru1 0.500 0.500 0.500


Material: CdNiBr2
Method: DFT, SCAN
State: PBEsol geometry

Summary:
SG: R3m (160)
Formation energy from raw total energies in eV/f.u.: -0.9

abc: 7.507 7.507 7.507
angles: 29.66 29.66 29.66
Sites, in units of the cell vectors:
Cd1 0.000 0.000 0.000
Ni1 0.743 0.743 0.743
Br1 0.256 0.256 0.256
Br2 0.445 0.445 0.445


Material: Mg30AlCrO32
Method: DFT, SCAN
State: PBEsol geometry

Summary:
SG: P4/mmm (123)
Formation energy from raw total energies in eV/f.u.: -186.6

abc: 8.442 8.442 8.424
angles: 90.00 90.00 90.00
Sites, in units of the cell vectors:
Mg1 0.000 0.000 0.000
Mg2 0.000 0.248 0.252
Mg3 0.000 0.248 0.748
Mg4 0.000 0.500 0.000
Mg5 0.000 0.500 0.500
Mg6 0.000 0.752 0.252
Mg7 0.000 0.752 0.748
Mg8 0.246 0.246 0.500
Mg9 0.246 0.754 0.500
Mg10 0.248 0.000 0.252
Mg11 0.248 0.000 0.748
Mg12 0.249 0.249 0.000
Mg13 0.249 0.500 0.250
Mg14 0.249 0.500 0.750
Mg15 0.249 0.751 0.000
Mg16 0.500 0.000 0.000
Mg17 0.500 0.000 0.500
Mg18 0.500 0.249 0.250
Mg19 0.500 0.249 0.750
Mg20 0.500 0.500 0.000
Mg21 0.500 0.751 0.250
Mg22 0.500 0.751 0.750
Mg23 0.751 0.249 0.000
Mg24 0.751 0.500 0.250
Mg25 0.751 0.500 0.750
Mg26 0.751 0.751 0.000
Mg27 0.752 0.000 0.252
Mg28 0.752 0.000 0.748
Mg29 0.754 0.246 0.500
Mg30 0.754 0.754 0.500
Al1 0.500 0.500 0.500
Cr1 0.000 0.000 0.500
O1 0.000 0.000 0.249
O2 0.000 0.000 0.751
O3 0.000 0.251 0.000
O4 0.000 0.259 0.500
O5 0.000 0.500 0.251
O6 0.000 0.500 0.749
O7 0.000 0.741 0.500
O8 0.000 0.749 0.000
O9 0.250 0.250 0.250
O10 0.250 0.250 0.750
O11 0.250 0.750 0.250
O12 0.250 0.750 0.750
O13 0.251 0.000 0.000
O14 0.252 0.500 0.000
O15 0.259 0.000 0.500
O16 0.266 0.500 0.500
O17 0.500 0.000 0.251
O18 0.500 0.000 0.749
O19 0.500 0.252 0.000
O20 0.500 0.266 0.500
O21 0.500 0.500 0.264
O22 0.500 0.500 0.736
O23 0.500 0.734 0.500
O24 0.500 0.748 0.000
O25 0.734 0.500 0.500
O26 0.741 0.000 0.500
O27 0.748 0.500 0.000
O28 0.749 0.000 0.000
O29 0.750 0.250 0.250
O30 0.750 0.250 0.750
O31 0.750 0.750 0.250
O32 0.750 0.750 0.750


Material: SrZrCd3
Method: DFT, SCAN
State: PBEsol geometry

Summary:
SG: Pm-3m (221)
Energy of formation in kJ per mole of atoms: 29.2

abc: 5.453 5.453 5.453
angles: 90.00 90.00 90.00
Sites, in units of the cell vectors:
Sr1 0.000 0.000 0.000
Zr1 0.500 0.500 0.500
Cd1 0.000 0.500 0.500
Cd2 0.500 0.000 0.500
Cd3 0.500 0.500 0.000


Material: MgAlCd2
Method: DFT, SCAN
State: PBEsol geometry

Summary:
SG: I4/mmm (139)
Energy of formation in kJ per mole of atoms: -1.1

abc: 5.192 5.192 5.192
angles: 130.31 130.31 72.91
Sites, in units of the cell vectors:
Mg1 0.000 0.000 0.000
Al1 0.500 0.500 0.000
Cd1 0.250 0.750 0.500
Cd2 0.750 0.250 0.500


| no. | ρ (g/cm³) | total energy (eV/atom) |
| --- | --- | --- |
| 1 | 13.67 | -45.44 |
| 2 | 3.37 | -10.00 |
| 3 | 7.99 | -16.04 |
| 4 | 8.96 | -16.63 |
| 5 | 5.86 | -16.01 |
| 6 | 10.30 | -25.44 |
| 7 | 9.21 | -29.01 |
| 8 | 6.99 | -16.67 |
| 9 | 7.06 | -41.30 |
| 10 | 12.85 | -51.70 |
| 11 | 14.67 | -59.33 |
| 12 | 4.09 | -12.44 |
| 13 | 5.38 | -19.70 |
| 14 | 6.32 | -20.55 |
| 15 | 7.96 | -52.36 |
| 16 | 7.23 | -34.71 |
| 17 | 5.99 | -21.60 |
| 18 | 3.65 | -8.77 |
| 19 | 5.29 | -28.54 |
| 20 | 5.77 | -18.40 |